# 1
LiWCl2, relaxed, DFT PBE; total magnetic moment = 0.00 μB per formula unit; energy relative to the lowest polymorph listed for this composition = 347 meV/atom
1.0
-5.353 -4.163 -2.757
-2.639 -6.615 1.694
1.703 7.032 1.111
Cl Li W
2 1 1
direct
0.890 0.890 0.000
0.610 0.610 0.000
0.250 0.750 0.500
0.750 0.250 0.500

***

# 2
Li2WCl, relaxed, DFT PBE; total magnetic moment = 0.00 μB per formula unit; energy relative to the lowest polymorph listed for this composition = 104 meV/atom
1.0
2.804 0.000 0.000
0.000 2.804 0.023
0.000 2.737 7.899
Cl Li W
1 2 1
direct
0.500 0.750 0.750
0.000 0.054 0.945
0.000 0.446 0.555
0.500 0.250 0.250